1.
# Pr8GaSi3Cl4

A relaxed structure of Pr8GaSi3Cl4 (PBE, the Alexandria database).

```
Pr8GaSi3Cl4
1.0
-7.0334 -0.5210 4.9071
4.3568 -4.6173 5.7543
2.9458 7.6788 -2.4842
Pr Ga Si Cl
8 1 3 4
Direct
0.2443 0.7291 0.9850 Pr
0.2443 0.7293 0.4886 Pr
0.2579 0.2740 0.5158 Pr
0.7408 0.7291 0.9850 Pr
0.2592 0.2709 0.0150 Pr
0.7421 0.7260 0.4842 Pr
0.7557 0.2707 0.5114 Pr
0.7557 0.2709 0.0150 Pr
0.0000 0.5000 0.0000 Ga
0.5000 0.5000 0.0000 Si
0.5000 0.5000 0.5000 Si
0.0000 0.5000 0.5000 Si
0.5000 0.0000 0.0000 Cl
0.5000 0.0000 0.5000 Cl
0.0000 0.0000 0.0000 Cl
0.0000 0.0000 0.5000 Cl
```

Summary:
* formation energy from raw total energies: -1140 meV/atom
* calculated density: 5.292 g/cm3

=====

2.
# Pr4GaTeCl2

A relaxed structure of Pr4GaTeCl2 (PBE, the Alexandria database).

```
Pr4GaTeCl2
1.0
-1.0939 -2.7764 -3.1852
-2.6307 -4.5068 4.8319
-7.6231 1.5354 1.2797
Pr Ga Te Cl
4 1 1 2
Direct
0.0000 0.7435 0.7758 Pr
0.0000 0.2565 0.2242 Pr
0.5000 0.7581 0.2187 Pr
0.5000 0.2419 0.7813 Pr
0.5000 0.5000 0.0000 Ga
0.0000 0.5000 0.5000 Te
0.0000 0.0000 0.0000 Cl
0.5000 0.0000 0.5000 Cl
```

Summary:
* formation energy from raw total energies: -1244 meV/atom
* calculated density: 6.015 g/cm3

=====

3.
# PrTl2GaCl6

A relaxed structure of PrTl2GaCl6 (PBE, the Alexandria database).

```
PrTl2GaCl6
1.0
7.8213 0.0023 0.0008
3.9126 6.7727 0.0009
3.9116 2.2592 6.5701
Pr Tl Ga Cl
1 2 1 6
Direct
0.3193 0.3193 0.0421 Pr
0.5335 0.5334 0.3997 Tl
0.0278 0.0278 0.9169 Tl
0.8125 0.8126 0.5621 Ga
0.5778 0.1776 0.2588 Cl
0.1775 0.9859 0.2586 Cl
0.9858 0.5783 0.2585 Cl
0.4526 0.6621 0.7726 Cl
0.6623 0.1122 0.7731 Cl
0.1125 0.4527 0.7728 Cl
```

Summary:
* formation energy from raw total energies: -1467 meV/atom
* calculated density: 3.971 g/cm3